A plane-wave DFT calculation with PBE-GGA was carried out for a relaxed TaCdCl2 crystal.

Results
- space group = Cmm2, No. 35
- energy above the most stable polymorph in this dataset (eV/f.u.) = 1.045
- formation energy without anion corrections (eV/atom) = -0.279
- volume (Å³/cell) = 88
- total energy (eV/atom) = -4.394

```
TaCdCl2
1.0
3.184 0.011 0.000
-1.375 2.872 0.000
0.000 0.000 9.619
Ta Cl Cd
1 2 1
direct
0.000 0.000 0.499
0.500 0.500 0.307
0.000 0.000 0.944
0.500 0.500 0.749
```


A plane-wave DFT calculation with PBE-GGA was carried out for a relaxed TaCdCl2 crystal.

Results
- space group = Pmm2, No. 25
- energy above the most stable polymorph in this dataset (eV/f.u.) = 1.727
- formation energy without anion corrections (eV/atom) = -0.108
- volume (Å³/cell) = 85
- total energy (eV/atom) = -4.223

```
TaCdCl2
1.0
3.033 0.000 0.000
0.000 4.014 0.000
0.000 0.000 7.018
Cl Cd Ta
2 1 1
direct
0.500 0.500 0.310
0.000 0.000 0.066
0.500 0.500 0.710
0.000 0.000 0.413
```


A plane-wave DFT calculation with PBE-GGA was carried out for a relaxed TaCdCl2 crystal.

Results
- space group = C2/m, No. 12
- energy above the most stable polymorph in this dataset (eV/f.u.) = 2.771
- formation energy without anion corrections (eV/atom) = 0.153
- volume (Å³/cell) = 79
- total energy (eV/atom) = -3.963

```
TaCdCl2
1.0
-3.682 4.320 0.508
-1.737 -4.129 3.523
0.070 1.042 2.874
Cl Ta Cd
2 1 1
direct
0.000 0.000 0.000
0.500 0.500 0.000
0.500 0.000 0.500
0.000 0.500 0.500
```


- Which of these has the highest total energy?
  number 3


- Which of these has the highest formation energy without anion corrections?
  number 3


- Which value of volume does entry 1 give?
  88 Å³/cell